1.
The following is a DFT calculation (PBE) of a relaxed structure of La2Sm2Cd.

Structure (extended XYZ):
```
10
Lattice="-4.613 7.298 -1.595 -3.419 2.005 -5.102 -9.078 0.848 2.023" Properties=species:S:1:pos:R:3 pbc="T T T"
La -8.868 2.283 -1.835
La -6.211 3.813 -3.106
La -8.242 7.868 -2.839
La -10.899 6.339 -1.568
Sm -7.233 5.657 -0.290
Sm -3.809 4.469 -0.722
Sm -9.882 3.678 1.150
Sm -6.457 2.490 0.719
Cd -3.072 2.518 -3.758
Cd -4.960 6.785 -2.938
```

Results
The formation energy is -0.041 eV per atom. The polymorph energy (0 for the lowest one) is 0.076 eV per atom.


2.
The following is a DFT calculation (PBE) of a relaxed structure of CaAgPdSe.

Structure (extended XYZ):
```
4
Lattice="4.879 0.000 0.000 2.439 4.225 0.000 2.439 1.408 3.983" Properties=species:S:1:pos:R:3 pbc="T T T"
Ag 4.879 2.817 1.992
Pd 7.318 4.225 2.988
Se 2.439 1.408 0.996
Ca 0.000 0.000 0.000
```

Results
The value obtained for the raw formation energy is -510 meV per atom.


3.
The following is a DFT calculation (PBE) of a relaxed structure of SrAc2Ge4.

Structure (extended XYZ):
```
7
Lattice="4.166 0.000 -0.950 -0.250 4.693 -1.096 0.148 -0.076 10.262" Properties=species:S:1:pos:R:3 pbc="T T T"
Sr 2.083 0.000 -0.475
Ge 1.476 1.591 6.472
Ge 3.905 1.964 7.515
Ge 2.589 3.026 1.744
Ge 0.160 2.653 0.700
Ac 3.304 3.797 4.880
Ac 0.761 0.820 3.336
```

Results
The formation energy is -0.589 eV per atom.


4.
The following is a DFT calculation (PBE) of a relaxed structure of Th4Ir2Pb.

Structure (extended XYZ):
```
14
Lattice="-2.408 -1.632 3.173 -0.532 -4.338 -5.555 11.269 -7.438 4.728" Properties=species:S:1:pos:R:3 pbc="T T T"
Th -1.204 -0.816 1.586
Th 9.175 -9.045 2.312
Th -0.847 -4.363 0.034
Th 6.081 -7.003 1.014
Th 2.568 -2.600 0.612
Th 4.430 -4.535 3.951
Th 5.760 -10.808 1.734
Th 2.247 -6.405 1.332
Ir 3.794 -8.784 1.283
Ir 4.534 -4.624 1.063
Ir 8.127 -11.644 3.100
Ir 0.201 -1.764 -0.755
Pb 6.860 -7.543 4.248
Pb 1.468 -5.865 -1.902
```

Results
The formation energy is -0.668 eV per atom.


5.
The following is a DFT calculation (PBE) of a relaxed structure of CaTlRu.

Structure (extended XYZ):
```
12
Lattice="-2.235 -3.857 -0.094 7.084 -4.137 1.303 -1.115 0.463 7.533" Properties=species:S:1:pos:R:3 pbc="T T T"
Tl 2.021 -2.487 1.121
Tl -0.348 -1.198 4.555
Tl 2.634 -5.426 1.393
Tl 3.888 -6.253 5.493
Ca -0.277 -3.856 6.184
Ca -0.704 -3.512 2.237
Ca 4.940 -4.227 3.116
Ca 3.398 -3.421 6.701
Ru 3.937 -6.351 8.404
Ru 2.070 -2.586 4.033
Ru -1.232 -0.752 7.295
Ru 1.750 -4.980 4.132
```

Results
The formation energy is 0.012 eV per atom.


6.
The following is a DFT calculation (PBE) of a relaxed structure of Eu3Sn2Pd2.

Structure (extended XYZ):
```
28
Lattice="6.020 0.000 0.000 0.000 8.713 0.000 0.000 0.000 14.144" Properties=species:S:1:pos:R:3 pbc="T T T"
Eu 0.901 3.432 8.461
Eu 2.132 6.519 3.536
Eu 5.119 7.788 12.755
Eu 0.901 0.925 5.683
Eu 0.901 0.925 1.389
Eu 3.887 2.162 3.536
Eu 2.132 6.551 10.608
Eu 0.901 3.432 12.755
Eu 3.887 2.194 10.608
Eu 5.119 7.788 8.461
Eu 5.119 5.281 1.389
Eu 5.119 5.281 5.683
Sn 0.888 3.476 3.536
Sn 5.131 5.236 10.608
Sn 0.888 0.880 10.608
Sn 3.947 2.178 7.072
Sn 5.131 7.833 3.536
Sn 3.947 2.178 0.000
Sn 2.073 6.535 0.000
Sn 2.073 6.535 7.072
Pd 2.296 4.039 1.267
Pd 2.296 4.039 5.805
Pd 3.724 8.395 1.267
Pd 2.296 0.318 12.877
Pd 2.296 0.318 8.339
Pd 3.724 4.674 12.877
Pd 3.724 8.395 5.805
Pd 3.724 4.674 8.339
```

Results
The formation energy is -0.786 eV per atom.


7.
The following is a DFT calculation (PBE) of a relaxed structure of LiAlPb2.

Structure (extended XYZ):
```
4
Lattice="-3.952 -1.320 -4.051 -3.632 -4.030 -2.083 -4.672 1.163 2.361" Properties=species:S:1:pos:R:3 pbc="T T T"
Al -6.381 -2.149 -1.921
Pb -7.757 -5.211 -5.914
Pb -9.029 -3.261 -3.022
Li -2.802 -1.010 -0.935
```

Results
The formation energy is 0.000 eV per atom.


8.
The following is a DFT calculation (PBE) of a relaxed structure of RbAlSN2.

Structure (extended XYZ):
```
5
Lattice="-4.877 0.368 -1.776 0.822 -4.095 -3.104 -1.968 -3.882 4.600" Properties=species:S:1:pos:R:3 pbc="T T T"
S -0.984 -1.941 2.300
Al -3.012 -3.805 -0.140
N 0.411 -2.047 -1.552
N -2.439 0.184 -0.888
Rb 0.000 0.000 0.000
```

Results
The polymorph energy (0 for the lowest one) is 1.683 eV per atom. The value obtained for the raw formation energy is 2236 meV per atom.


9.
The following is a DFT calculation (PBE) of a relaxed structure of Tl2InCuF6.

Structure (extended XYZ):
```
20
Lattice="6.158 0.000 0.000 0.000 6.166 0.000 0.000 0.000 8.704" Properties=species:S:1:pos:R:3 pbc="T T T"
F 4.644 3.116 0.000
F 3.079 1.542 2.213
F 3.079 1.542 6.492
F 4.592 3.050 4.352
F 1.565 3.050 4.352
F 1.512 6.140 0.000
F 4.591 0.025 4.352
F 1.567 0.025 4.352
F 1.513 3.116 0.000
F 0.000 4.624 2.139
F 4.646 6.140 0.000
F 0.000 4.624 6.565
Tl 0.000 1.543 6.530
Tl 3.079 4.623 2.178
Tl 3.079 4.623 6.526
Tl 0.000 1.543 2.174
Cu 0.000 4.621 4.352
Cu 3.079 1.545 0.000
In 0.000 4.628 0.000
In 3.079 1.538 4.352
```

Results
The value obtained for the raw formation energy is -1926 meV per atom.


10.
The following is a DFT calculation (PBE) of a relaxed structure of Ho4Ga3Ir.

Structure (extended XYZ):
```
8
Lattice="-2.197 2.710 -1.806 1.733 -1.106 -3.767 -7.872 -7.356 -1.463" Properties=species:S:1:pos:R:3 pbc="T T T"
Ho -5.993 -6.963 -3.158
Ho -6.208 -3.420 -1.852
Ho -1.095 -1.023 -0.203
Ho -2.919 -1.709 -3.286
Ga -8.382 -5.452 -2.256
Ga -3.352 -3.132 -0.623
Ga -3.670 -4.792 -2.727
Ir -0.796 0.275 -2.892
```

Results
The formation energy is -0.687 eV per atom.


11.
The following is a DFT calculation (PBE) of a relaxed structure of KCu2P.

Structure (extended XYZ):
```
4
Lattice="-1.620 -0.763 -5.118 4.436 -2.961 1.921 -1.065 -2.397 0.717" Properties=species:S:1:pos:R:3 pbc="T T T"
K 1.686 -2.679 1.319
Cu 0.000 0.000 0.000
Cu -1.342 -1.580 -2.201
P 1.408 -1.862 -1.599
```

Results
The formation energy is 0.583 eV per atom.


12.
The following is a DFT calculation (PBE) of a relaxed structure of AcY2In2Ag2.

Structure (extended XYZ):
```
7
Lattice="-2.606 0.997 4.055 -4.121 -2.515 0.957 2.751 -6.871 6.444" Properties=species:S:1:pos:R:3 pbc="T T T"
Ag -3.258 -2.576 4.514
Ag -0.718 -5.814 6.942
Y -4.788 -3.990 6.866
Y 0.812 -4.399 4.590
In -1.026 -2.056 2.833
In -2.950 -6.333 8.623
Ac 0.000 0.000 0.000
```

Results
The formation energy is -0.328 eV per atom.